1.
VASP calculation (GGA-PBE) on an optimized crystal structure of Sr2LiSc.

Output
- Calculated volume: 36.7 Å³/atom
- Energy of formation from the pure elements: 45 kJ/mol of atoms
- Symmetry: I-42d (122)

Cell lengths 7.344, 7.344, 7.344 Å; angles 103.50, 103.50, 122.21 degrees
Atoms (fractional coordinates):
Sr (0.090, 0.625, 0.965)
Sr (0.375, 0.340, 0.465)
Sr (0.660, 0.125, 0.035)
Sr (0.875, 0.910, 0.535)
Li (0.000, 0.000, 0.000)
Li (0.750, 0.250, 0.500)
Sc (0.250, 0.750, 0.500)
Sc (0.500, 0.500, 0.000)

---

2.
VASP calculation (GGA-PBE) on an optimized crystal structure of SrLiSc.

Output
- Calculated volume: 31.7 Å³/atom
- Energy of formation from the pure elements: 36 kJ/mol of atoms
- Symmetry: P3m1 (156)

Cell lengths 5.615, 5.615, 3.479 Å; angles 90.00, 90.00, 120.00 degrees
Atoms (fractional coordinates):
Sr (0.000, 0.000, 0.000)
Li (0.667, 0.333, 0.319)
Sc (0.333, 0.667, 0.591)

---

3.
VASP calculation (GGA-PBE) on an optimized crystal structure of SrLiSc.

Output
- Calculated volume: 35.1 Å³/atom
- Energy of formation from the pure elements: 56 kJ/mol of atoms
- Symmetry: F-43m (216)

Cell lengths 5.302, 5.302, 5.302 Å; angles 60.00, 60.00, 60.00 degrees
Atoms (fractional coordinates):
Sr (0.000, 0.000, 0.000)
Li (0.750, 0.750, 0.750)
Sc (0.500, 0.500, 0.500)

---

4.
VASP calculation (GGA-PBE) on an optimized crystal structure of SrLi2Sc.

Output
- Calculated volume: 29.8 Å³/atom
- Energy of formation from the pure elements: 31 kJ/mol of atoms
- Symmetry: R-3m (166)

Cell lengths 11.110, 11.110, 11.110 Å; angles 18.40, 18.40, 18.40 degrees
Atoms (fractional coordinates):
Sr (0.000, 0.000, 0.000)
Li (0.242, 0.242, 0.242)
Li (0.758, 0.758, 0.758)
Sc (0.500, 0.500, 0.500)

---

5.
VASP calculation (GGA-PBE) on an optimized crystal structure of SrLiSc2.

Output
- Calculated volume: 28.9 Å³/atom
- Energy of formation from the pure elements: 30 kJ/mol of atoms
- Symmetry: Cm (8)

Cell lengths 6.076, 6.076, 5.975 Å; angles 107.21, 107.21, 33.41 degrees
Atoms (fractional coordinates):
Sr (0.000, 0.000, 0.000)
Li (0.750, 0.750, 0.156)
Sc (0.208, 0.208, 0.621)
Sc (0.465, 0.465, 0.487)

---

6.
VASP calculation (GGA-PBE) on an optimized crystal structure of SrLi2Sc.

Output
- Calculated volume: 28.2 Å³/atom
- Energy of formation from the pure elements: 19 kJ/mol of atoms
- Symmetry: P4mm (99)

Cell lengths 3.696, 3.696, 8.258 Å; angles 90.00, 90.00, 90.00 degrees
Atoms (fractional coordinates):
Sr (0.000, 0.000, 0.000)
Li (0.000, 0.000, 0.461)
Li (0.500, 0.500, 0.302)
Sc (0.500, 0.500, 0.675)

---

7.
VASP calculation (GGA-PBE) on an optimized crystal structure of SrLiSc.

Output
- Calculated volume: 31.5 Å³/atom
- Energy of formation from the pure elements: 22 kJ/mol of atoms
- Symmetry: Cm (8)

Cell lengths 6.792, 6.792, 8.345 Å; angles 109.34, 109.34, 31.54 degrees
Atoms (fractional coordinates):
Sr (0.000, 0.000, 0.000)
Sr (0.686, 0.686, 0.768)
Li (0.003, 0.003, 0.417)
Li (0.330, 0.330, 0.185)
Sc (0.373, 0.373, 0.591)
Sc (0.698, 0.698, 0.349)

---

8.
VASP calculation (GGA-PBE) on an optimized crystal structure of SrLi2Sc.

Output
- Calculated volume: 28.2 Å³/atom
- Energy of formation from the pure elements: 19 kJ/mol of atoms
- Symmetry: Pmmm (47)

Cell lengths 3.776, 3.830, 7.793 Å; angles 90.00, 90.00, 90.00 degrees
Atoms (fractional coordinates):
Sr (0.000, 0.000, 0.000)
Li (0.500, 0.500, 0.298)
Li (0.500, 0.500, 0.702)
Sc (0.000, 0.000, 0.500)

---

9.
VASP calculation (GGA-PBE) on an optimized crystal structure of Sr2LiSc.

Output
- Calculated volume: 36.7 Å³/atom
- Energy of formation from the pure elements: 21 kJ/mol of atoms
- Symmetry: P2/m (10)

Cell lengths 4.198, 4.203, 8.311 Å; angles 90.00, 90.09, 90.00 degrees
Atoms (fractional coordinates):
Sr (0.001, 0.000, 0.250)
Sr (0.999, 0.000, 0.750)
Li (0.500, 0.500, 0.500)
Sc (0.500, 0.500, 0.000)

---

10.
VASP calculation (GGA-PBE) on an optimized crystal structure of SrLiSc2.

Output
- Calculated volume: 28.5 Å³/atom
- Energy of formation from the pure elements: 32 kJ/mol of atoms
- Symmetry: Imm2 (44)

Cell lengths 6.425, 6.425, 6.425 Å; angles 146.71, 127.54, 63.56 degrees
Atoms (fractional coordinates):
Sr (0.000, 0.000, 0.000)
Li (0.245, 0.745, 0.500)
Sc (0.464, 0.464, 0.000)
Sc (0.713, 0.213, 0.500)

---

11.
VASP calculation (GGA-PBE) on an optimized crystal structure of SrLi2Sc.

Output
- Calculated volume: 30.0 Å³/atom
- Energy of formation from the pure elements: 29 kJ/mol of atoms
- Symmetry: C2/m (12)

Cell lengths 5.576, 5.576, 6.648 Å; angles 96.07, 96.07, 35.74 degrees
Atoms (fractional coordinates):
Sr (0.000, 0.000, 0.000)
Li (0.242, 0.242, 0.688)
Li (0.758, 0.758, 0.312)
Sc (0.500, 0.500, 0.500)

---

12.
VASP calculation (GGA-PBE) on an optimized crystal structure of Sr2LiSc.

Output
- Calculated volume: 37.6 Å³/atom
- Energy of formation from the pure elements: 28 kJ/mol of atoms
- Symmetry: R-3m (166)

Cell lengths 12.049, 12.049, 12.049 Å; angles 18.28, 18.28, 18.28 degrees
Atoms (fractional coordinates):
Sr (0.249, 0.249, 0.249)
Sr (0.751, 0.751, 0.751)
Li (0.000, 0.000, 0.000)
Sc (0.500, 0.500, 0.500)